YSc2V: optimized geometry, PBE-GGA. Values from VASP.

Output
* energy above the most stable polymorph in this dataset: 1034 meV per atom
* space-group type: I4_1/amd, No. 141
* calculated formation energy: 1.204 eV per atom
* size of the total moment: 0.00 μB per cell

Structure (Quantum ESPRESSO input):
```
&SYSTEM
  ibrav = 0, nat = 8, ntyp = 3
/
ATOMIC_SPECIES
Sc 44.96 Sc.upf
V 50.94 V.upf
Y 88.91 Y.upf
ATOMIC_POSITIONS angstrom
Sc 3.4664 1.7331 1.2323
V 3.4662 6.9325 2.4646
Sc 3.4661 5.1994 1.2323
Sc 8.6656 6.9327 3.6969
Sc 5.1994 6.9323 3.6969
Y 6.9325 3.4662 2.4646
Y 0.0000 0.0000 0.0000
V 3.4662 3.4662 0.0000
CELL_PARAMETERS angstrom
6.9325 0.0000 0.0000
0.0000 6.9325 0.0000
3.4662 3.4662 4.9293
```